The following is a DFT calculation (PBE) of a relaxed structure of LaPt8Pb3.

Properties
Formation energy   -0.459 eV per atom
E_tot   -5.8239 eV per atom
Space-group type   R3m (160)

```
LaPt8Pb3
1.0
-0.131 -5.093 -2.085
4.345 -1.959 -2.754
4.820 -5.587 6.078
Pt La Pb
8 1 3
Cartesian
2.891 -3.759 1.734 Pt
2.758 -4.146 -0.971 Pt
7.411 -10.081 2.358 Pt
5.079 -9.455 0.976 Pt
7.245 -10.432 -0.397 Pt
7.310 -7.893 0.643 Pt
2.693 -6.675 -2.006 Pt
4.916 -5.119 -2.338 Pt
5.481 -8.252 -1.987 La
5.845 -7.577 3.608 Pb
4.581 -6.380 0.763 Pb
4.775 -5.544 5.975 Pb
```



The following is a DFT calculation (PBE) of a relaxed structure of ReNiCl2.

Properties
ΔE_f (raw)   101 kJ/mol of formula units
E_tot   -5.2178 eV per atom
Space-group type   Immm (71)

```
ReNiCl2
1.0
-1.066 4.516 5.930
-4.246 0.444 6.203
4.915 -2.937 -4.891
Re Cl Ni
1 2 1
Cartesian
-0.994 -0.007 3.689 Re
-0.597 0.558 1.364 Cl
-2.059 1.923 4.702 Cl
0.596 2.030 3.553 Ni
```



The following is a DFT calculation (PBE) of a relaxed structure of Tb4HoMgSe8.

Properties
ΔE_f (raw)   -2322 kJ/mol of formula units
E_tot   -5.4739 eV per atom
Space-group type   R3m (160)

```
Tb4HoMgSe8
1.0
8.364 0.000 0.000
4.182 7.244 0.000
4.182 2.415 6.825
Ho Se Tb Mg
1 8 4 1
Cartesian
4.182 2.415 6.755 Ho
10.519 3.585 5.108 Se
10.607 6.124 1.748 Se
4.182 2.415 1.776 Se
6.122 6.124 1.748 Se
8.364 2.240 1.748 Se
12.547 7.244 4.950 Se
8.364 7.317 5.108 Se
6.210 3.585 5.108 Se
8.364 4.829 0.857 Tb
2.146 1.239 3.435 Tb
4.182 4.766 3.435 Tb
6.219 1.239 3.435 Tb
8.364 4.829 5.976 Mg
```



The following is a DFT calculation (PBE) of a relaxed structure of DyEr2Ir2.

Properties
Formation energy   -0.764 eV per atom
E_tot   -7.0537 eV per atom
Space-group type   P2_1/m (11)

```
DyEr2Ir2
1.0
-3.392 -2.700 0.433
2.703 -3.848 -2.820
1.875 -0.600 10.942
Dy Ir Er
2 4 4
Cartesian
1.731 -3.915 0.110 Dy
-0.545 -3.234 8.445 Dy
2.717 -4.423 4.662 Ir
-0.654 -4.665 -1.326 Ir
1.840 -2.484 9.881 Ir
-1.531 -2.725 3.893 Ir
0.281 -5.076 3.430 Er
2.896 -4.179 7.580 Er
0.905 -2.072 5.125 Er
-1.710 -2.969 0.975 Er
```



The following is a DFT calculation (PBE) of a relaxed structure of CrSnI2N.

Properties
ΔE_f (raw)   62 kJ/mol of formula units
E_tot   -4.8823 eV per atom
Space-group type   P4/mmm (123)

```
CrSnI2N
1.0
5.793 0.000 0.000
0.000 5.793 0.000
0.000 0.000 3.683
Cr Sn I N
1 1 2 1
Cartesian
0.000 0.000 0.000 Cr
2.897 2.897 1.842 Sn
0.000 2.897 0.000 I
2.897 0.000 0.000 I
0.000 0.000 1.842 N
```



The following is a DFT calculation (PBE) of a relaxed structure of CdGe2N2.

Properties
ΔE_f (raw)   273 kJ/mol of formula units
E_tot   -4.7943 eV per atom
Space-group type   I4/mmm (139)

```
CdGe2N2
1.0
3.677 0.000 0.000
0.000 3.677 0.000
1.838 1.838 6.335
Ge N Cd
2 2 1
Cartesian
1.838 1.838 2.324 Ge
3.677 3.677 4.011 Ge
3.677 1.838 3.168 N
1.838 3.677 3.168 N
0.000 0.000 0.000 Cd
```